This record from the Alexandria database describes a relaxed CrCo2Ni crystal. The functional is GGA-PBE.

The value obtained for the density is 8.7 g cm⁻³. The value obtained for the formation enthalpy at 0 K is 0.050 eV per atom. The total energy comes out at -29.42 eV per cell. For the magnetic moment, the calculation gives 0.824 μB/atom.

It has space group P4mm (No. 99), with a = 2.472 Å, b = 2.472 Å, c = 7.179 Å, α = 90.00°, β = 90.00° and γ = 90.00°. Symmetry generates all atoms from Cr at (0.000, 0.000, 0.000), Co at (0.000, 0.000, 0.507), Co at (0.500, 0.500, 0.748) and Ni at (0.500, 0.500, 0.254).